(1)
ZnCd2Au | Alexandria via LeMat-Bulk | GGA-PBE | relaxed; symmetry = P4/mmm (123); energy of formation = -0.07 eV per atom
1.0
3.630 0.000 0.000
0.000 3.630 0.000
0.000 0.000 5.869
Zn Cd Au
1 2 1
direct
0.000 0.000 0.000 Zn
0.500 0.500 0.247 Cd
0.500 0.500 0.753 Cd
0.000 0.000 0.500 Au

***

(2)
Zn3CdAu3 | Alexandria via LeMat-Bulk | GGA-PBE | relaxed; ΔE to the lowest computed polymorph = 373.1 meV/atom; symmetry = Pm-3n (223); energy of formation = 0.21 eV per atom
1.0
7.176 0.000 0.000
0.000 7.176 0.000
0.000 0.000 7.176
Zn Cd Au
6 2 6
direct
0.000 0.250 0.500 Zn
0.000 0.750 0.500 Zn
0.250 0.500 0.000 Zn
0.500 0.000 0.250 Zn
0.500 0.000 0.750 Zn
0.750 0.500 0.000 Zn
0.000 0.000 0.000 Cd
0.500 0.500 0.500 Cd
0.000 0.500 0.250 Au
0.000 0.500 0.750 Au
0.250 0.000 0.500 Au
0.500 0.250 0.000 Au
0.500 0.750 0.000 Au
0.750 0.000 0.500 Au